{"formula": "FeP2Cl", "functional": "PBE", "state": "relaxed", "cell": [[4.190, -0.004, 0.018], [3.066, 2.856, 0.018], [1.700, 0.668, 6.939]], "species": ["P", "P", "Cl", "Fe"], "fractional_positions": [[0.775, 0.775, 0.881], [0.927, 0.927, 0.078], [0.601, 0.601, 0.395], [0.197, 0.197, 0.145]], "m_tot_mub_per_fu": 1.0, "sg": "Cm", "formation_energy_uncorrected_mev_per_atom": -146, "e_above_lowest_polymorph_mev_per_atom": 66, "dos_at_fermi_per_ev_cell": 2.23}

---

{"formula": "FeP2Cl", "functional": "PBE", "state": "relaxed", "cell": [[5.617, 0.000, 0.000], [0.000, 5.617, 0.000], [2.808, 2.808, 5.274]], "species": ["P", "P", "P", "P", "Cl", "Cl", "Fe", "Fe"], "fractional_positions": [[0.375, 0.256, 0.750], [0.006, 0.625, 0.250], [0.744, 0.125, 0.250], [0.875, 0.994, 0.750], [0.250, 0.750, 0.500], [0.500, 0.500, 0.000], [0.000, 0.000, 0.000], [0.750, 0.250, 0.500]], "m_tot_mub_per_fu": 0.0, "sg": "I-42d", "formation_energy_uncorrected_mev_per_atom": 124, "e_above_lowest_polymorph_mev_per_atom": 336, "dos_at_fermi_per_ev_cell": 3.19}